[1]
Ce7Ge3Au | PBE | relaxed

CIF file:
```
data_Ce7Ge3Au
_space_group_name_H-M_alt 'I m m m'
_space_group_IT_number 71
_space_group_name_Hall '-I 2 2'
_cell_length_a 5.6228
_cell_length_b 8.9483
_cell_length_c 11.4441
_cell_angle_alpha 90.00
_cell_angle_beta 90.00
_cell_angle_gamma 90.00
loop_
_atom_site_label
_atom_site_fract_x
_atom_site_fract_y
_atom_site_fract_z
Ce1 0.0000 0.0000 0.0000
Ce2 0.0000 0.1577 0.5000
Ce3 0.0000 0.3436 0.2358
Ge1 0.0000 0.0000 0.2635
Ge2 0.0000 0.5000 0.0000
Au1 0.0000 0.5000 0.5000
```

***

[2]
CeGe2Au6 | PBE | relaxed

CIF file:
```
data_CeGe2Au6
_space_group_name_H-M_alt 'P 4/m m m'
_space_group_IT_number 123
_space_group_name_Hall '-P 4 2'
_cell_length_a 4.4804
_cell_length_b 4.4804
_cell_length_c 8.8800
_cell_angle_alpha 90.00
_cell_angle_beta 90.00
_cell_angle_gamma 90.00
loop_
_atom_site_label
_atom_site_fract_x
_atom_site_fract_y
_atom_site_fract_z
Ce1 0.0000 0.0000 0.0000
Ge1 0.5000 0.5000 0.1384
Au1 0.0000 0.0000 0.5000
Au2 0.0000 0.5000 0.2844
Au3 0.5000 0.5000 0.5000
```

***

[3]
# Ce2Ge3Au2, relaxed, DFT PBE
# - E above lowest polymorph (meV per atom) = 0
data_Ce2Ge3Au2
_space_group_name_H-M_alt 'C m c m'
_space_group_IT_number 63
_space_group_name_Hall '-C 2c 2'
_cell_length_a 4.4672
_cell_length_b 19.1149
_cell_length_c 7.1273
_cell_angle_alpha 90.00
_cell_angle_beta 90.00
_cell_angle_gamma 90.00
loop_
_atom_site_label
_atom_site_fract_x
_atom_site_fract_y
_atom_site_fract_z
Ce1 0.0000 0.0512 0.2500
Ce2 0.0000 0.1548 0.7500
Ge1 0.0000 0.2223 0.2500
Ge2 0.0000 0.4411 0.0714
Au1 0.0000 0.3135 0.5509

***

[4]
Ce3GeAu3 | PBE | relaxed

CIF file:
```
data_Ce3GeAu3
_space_group_name_H-M_alt 'I m m 2'
_space_group_IT_number 44
_cell_length_a 3.9678
_cell_length_b 4.4700
_cell_length_c 19.7813
_cell_angle_alpha 90.00
_cell_angle_beta 90.00
_cell_angle_gamma 90.00
loop_
_space_group_symop_operation_xyz
'x,y,z'
'-x,-y,z'
'-x,y,z'
'x,-y,z'
'x+1/2,y+1/2,z+1/2'
'-x+1/2,-y+1/2,z+1/2'
'-x+1/2,y+1/2,z+1/2'
'x+1/2,-y+1/2,z+1/2'
loop_
_atom_site_label
_atom_site_fract_x
_atom_site_fract_y
_atom_site_fract_z
Ce1 0.0000 0.0000 0.0000
Ce2 0.0000 0.0000 0.3688
Ce3 0.0000 0.5000 0.1893
Ge1 0.0000 0.5000 0.7514
Au1 0.0000 0.0000 0.5298
Au2 0.0000 0.0000 0.8329
Au3 0.0000 0.5000 0.6213
```

***

[5]
Ce2GeAu | PBE | relaxed

CIF file:
```
data_Ce2GeAu
_space_group_name_H-M_alt 'R -3 m'
_space_group_IT_number 166
_space_group_name_Hall '-R 3 2"'
_cell_length_a 4.1846
_cell_length_b 4.1846
_cell_length_c 22.1094
_cell_angle_alpha 90.00
_cell_angle_beta 90.00
_cell_angle_gamma 120.00
loop_
_atom_site_label
_atom_site_fract_x
_atom_site_fract_y
_atom_site_fract_z
Ce1 0.0000 0.0000 0.2456
Ge1 0.0000 0.0000 0.5000
Au1 0.0000 0.0000 0.0000
```

***

[6]
# CeGeAu3, relaxed, DFT PBE
# - E above lowest polymorph (meV per atom) = 0
data_CeGeAu3
_space_group_name_H-M_alt 'P n m a'
_space_group_IT_number 62
_cell_length_a 9.1880
_cell_length_b 4.9418
_cell_length_c 9.1792
_cell_angle_alpha 90.00
_cell_angle_beta 90.00
_cell_angle_gamma 90.00
loop_
_space_group_symop_operation_xyz
'x,y,z'
'-x,-y,-z'
'-x+1/2,-y,z+1/2'
'x+1/2,y,-z+1/2'
'x+1/2,-y+1/2,-z+1/2'
'-x+1/2,y+1/2,z+1/2'
'-x,y+1/2,-z'
'x,-y+1/2,z'
loop_
_atom_site_label
_atom_site_fract_x
_atom_site_fract_y
_atom_site_fract_z
Ce1 0.2408 0.2500 0.0038
Ge1 0.1110 0.2500 0.6619
Au1 0.0848 0.2500 0.3778
Au2 0.0996 0.7500 0.1616
Au3 0.1055 0.7500 0.8516

***

no.,energy of formation from the pure elements (meV per atom),size of the total moment (μB/f.u.)
1,-465,5.8
2,-265,1.0
3,-612,1.8
4,-644,1.2
5,-537,2.1
6,-494,0.7